Density functional theory data (PBE) for a relaxed structure of La3Pm2TmSb6.

CIF file:
```
data_La3Pm2TmSb6
_symmetry_space_group_name_H-M 'C 1 2/m 1'
_symmetry_Int_Tables_number 12
_symmetry_space_group_name_Hall '-C 2y'
_cell_length_a 7.859
_cell_length_b 13.611
_cell_length_c 7.846
_cell_angle_alpha 90.00
_cell_angle_beta 109.51
_cell_angle_gamma 90.00
loop_
_atom_site_label
_atom_site_fract_x
_atom_site_fract_y
_atom_site_fract_z
La1 0.000 0.000 0.000
La2 0.000 0.331 0.000
Pm1 0.000 0.166 0.500
Tm1 0.000 0.500 0.500
Sb1 0.243 0.336 0.739
Sb2 0.247 0.500 0.258
```

Properties
The calculation puts the density of states at the Fermi level at 4.164 states/eV per cell. For the spin magnetization, the calculation gives 0.0 μB per cell. The calculation puts the uncorrected formation energy at -1.206 eV/atom.